<one>
## Ga3Pd5Au (PBE)

Data for crystalline Ga3Pd5Au at its relaxed geometry.

Cell lengths 5.695, 5.695, 10.036 Å; angles 96.59, 96.59, 78.22 degrees
Atoms (fractional coordinates):
Ga  0.000  0.000  0.000
Ga  0.000  0.000  0.500
Ga  0.276  0.276  0.361
Ga  0.329  0.329  0.981
Ga  0.671  0.671  0.019
Ga  0.724  0.724  0.639
Pd  0.001  0.584  0.845
Pd  0.265  0.265  0.606
Pd  0.319  0.681  0.500
Pd  0.416  0.999  0.155
Pd  0.490  0.490  0.204
Pd  0.510  0.510  0.796
Pd  0.584  0.001  0.845
Pd  0.681  0.319  0.500
Pd  0.735  0.735  0.394
Pd  0.999  0.416  0.155
Au  0.046  0.046  0.764
Au  0.954  0.954  0.236

Values from the calculation:
The volume is 315.12 Å³/cell. The theoretical density comes out at 9.89 g/cm³. For the total magnetization, the calculation gives 0.00 μB per atom. The space-group type is C2/m.

<two>
## Ga3Pd5Au (PBE)

Data for crystalline Ga3Pd5Au at its relaxed geometry.

Cell lengths 7.566, 7.566, 5.623 Å; angles 90.00, 90.00, 120.00 degrees
Atoms (fractional coordinates):
Ga  0.000  0.353  0.250
Ga  0.000  0.647  0.750
Ga  0.353  0.000  0.250
Ga  0.353  0.353  0.750
Ga  0.647  0.000  0.750
Ga  0.647  0.647  0.250
Pd  0.000  0.321  0.750
Pd  0.000  0.679  0.250
Pd  0.321  0.000  0.750
Pd  0.321  0.321  0.250
Pd  0.333  0.667  0.000
Pd  0.333  0.667  0.500
Pd  0.667  0.333  0.000
Pd  0.667  0.333  0.500
Pd  0.679  0.000  0.250
Pd  0.679  0.679  0.750
Au  0.000  0.000  0.000
Au  0.000  0.000  0.500

Values from the calculation:
The volume is 278.78 Å³/cell. The theoretical density comes out at 11.18 g/cm³. For the total magnetization, the calculation gives 0.00 μB per atom. The space-group type is P6_3/mcm.

Of the structures shown above, <one> is the least stable.